Below is a relaxed structure of CrPbO4, with properties calculated at the GGA+U level.

Values from the calculation:
Volume   386.7 Å³/cell
Total energy   -6.44 eV/atom
Total magnetic moment   0.00 μB per formula unit

a = 8.2454 Å, b = 5.9169 Å, c = 7.9255 Å
α = 90.00°, β = 90.00°, γ = 90.00°
Space group Pnma (No. 62)
Symmetry-distinct sites (fractional):
Cr1 0.0443 0.2500 0.1665 x4
Pb1 0.2183 0.2500 0.7179 x4
O1 0.0548 0.0121 0.2840 x8
O2 0.1302 0.7500 0.9341 x4
O3 0.1974 0.2500 0.0306 x4